Compound: SnB2Pd
Source: the Alexandria database
Functional: PBE
Structure: relaxed

a = 5.0069 Å, b = 5.0069 Å, c = 6.2896 Å
α = 66.54°, β = 66.54°, γ = 90.00°
Last column: nearest neighbours and their distance in Å.
Element x y z (fractional)
B 0.3750 0.4193 0.7500  2 Pd 2.08
B 0.8750 0.8307 0.7500  2 Pd 2.08
B 0.1693 0.6250 0.2500  2 Pd 2.08
B 0.5807 0.1250 0.2500  2 Pd 2.08
Pd 0.5000 0.5000 0.0000  4 B 2.08
Pd 0.2500 0.7500 0.5000  4 B 2.08
Sn 0.0000 0.0000 0.0000  4 B 2.33
Sn 0.7500 0.2500 0.5000  4 B 2.33

## Properties
- E_form: 0.692 eV per atom
- Symmetry: No. 122
- Theoretical density: 6.3 g/cm3



Compound: SnB3Pd
Source: the Alexandria database
Functional: PBE
Structure: relaxed

a = 4.4508 Å, b = 4.4508 Å, c = 4.4508 Å
α = 90.00°, β = 90.00°, γ = 90.00°
Last column: nearest neighbours and their distance in Å.
Element x y z (fractional)
B 0.0000 0.5000 0.0000  2 Sn 2.23
B 0.0000 0.0000 0.5000  2 Sn 2.23
B 0.5000 0.0000 0.0000  2 Sn 2.23
Pd 0.5000 0.5000 0.5000  12 B 3.15
Sn 0.0000 0.0000 0.0000  6 B 2.23

## Properties
- E_form: 2.248 eV per atom
- Energy above the most stable polymorph in this dataset: 4.574 eV per formula unit
- Symmetry: No. 221
- Theoretical density: 4.9 g/cm3